16
Lattice="7.9178 0.0000 0.0000 0.0000 7.9178 0.0000 0.0000 0.0000 7.9178" Properties=species:S:1:pos:R:3 comment="PrYHoSc, relaxed, DFT PBE" delta_e_f_ev_per_fu=0.4 de_polymorph_kj_per_mol_fu=2 pbc="T T T"
Pr 0.0000 0.0000 0.0000
Pr 0.0000 3.9589 3.9589
Pr 3.9589 0.0000 3.9589
Pr 3.9589 3.9589 0.0000
Y 0.0000 0.0000 3.9589
Y 0.0000 3.9589 0.0000
Y 3.9589 0.0000 0.0000
Y 3.9589 3.9589 3.9589
Ho 1.9794 1.9794 1.9794
Ho 1.9794 5.9383 5.9383
Ho 5.9383 1.9794 5.9383
Ho 5.9383 5.9383 1.9794
Sc 1.9794 1.9794 5.9383
Sc 1.9794 5.9383 1.9794
Sc 5.9383 1.9794 1.9794
Sc 5.9383 5.9383 5.9383



12
Lattice="3.0880 -5.3468 0.0000 3.0880 5.3468 0.0000 -2.0570 0.0000 11.5883" Properties=species:S:1:pos:R:3 comment="Pr3Y2Ho6Sc, relaxed, DFT PBE" delta_e_f_ev_per_fu=0.4 pbc="T T T"
Pr 0.0000 0.0000 0.0000
Pr 3.0880 1.7814 0.0000
Pr 3.0880 -1.7814 0.0000
Y 2.0595 3.5667 5.7941
Y 2.0595 -3.5667 5.7941
Ho 1.0433 1.7651 2.9710
Ho 0.0172 0.0000 8.6193
Ho 1.0433 -1.7651 2.9710
Ho 3.0756 1.7651 8.6172
Ho 4.1018 0.0000 2.9689
Ho 3.0756 -1.7651 8.6172
Sc 2.0595 0.0000 5.7941



18
Lattice="2.7102 -11.0255 0.0000 2.7102 11.0255 0.0000 0.0000 0.0000 10.3062" Properties=species:S:1:pos:R:3 comment="Pr5Y2HoSc, relaxed, DFT PBE" delta_e_f_ev_per_fu=1.1 pbc="T T T"
Pr 2.7102 -11.0237 0.0000
Pr 2.7102 11.0237 5.1531
Pr 2.7102 8.2294 7.7282
Pr 2.7102 6.1459 0.6414
Pr 2.7102 6.1391 4.5020
Pr 2.7102 0.0078 2.5760
Pr 2.7102 -0.0078 7.7291
Pr 2.7102 -6.1391 9.6551
Pr 2.7102 -6.1459 5.7945
Pr 2.7102 -8.2294 2.5751
Y 2.7102 2.5410 5.1827
Y 2.7102 2.5468 10.2753
Y 2.7102 -2.5410 0.0297
Y 2.7102 -2.5468 5.1222
Ho 2.7102 8.7825 2.5757
Ho 2.7102 -8.7825 7.7287
Sc 2.7102 4.6904 7.7252
Sc 2.7102 -4.6904 2.5721



18
Lattice="2.7929 -9.8143 0.0000 2.7929 9.8143 0.0000 0.0000 0.0000 10.3915" Properties=species:S:1:pos:R:3 comment="PrY2Ho5Sc, relaxed, DFT PBE" delta_e_f_ev_per_fu=1.6 pbc="T T T"
Pr 2.7929 8.1389 5.1957
Pr 2.7929 -8.1389 0.0000
Y 2.7929 2.2261 8.0954
Y 2.7929 2.1821 3.7559
Y 2.7929 -2.1821 8.9516
Y 2.7929 -2.2261 2.8996
Ho 2.7929 9.4424 8.1443
Ho 2.7929 7.4092 0.6818
Ho 2.7929 5.8429 7.8033
Ho 2.7929 5.4555 3.8117
Ho 2.7929 0.3893 0.6950
Ho 2.7929 -0.3893 5.8907
Ho 2.7929 -5.4555 9.0074
Ho 2.7929 -5.8429 2.6076
Ho 2.7929 -7.4092 5.8776
Ho 2.7929 -9.4424 2.9486
Sc 2.7929 3.8768 0.6207
Sc 2.7929 -3.8768 5.8165